Density functional theory data (PBE-GGA) for CuP3I after structural relaxation.

Total magnetization: 0.0 μB per formula unit
Polymorph energy (0 for the lowest one): 0.0 meV per atom
Raw formation energy: 944 meV/atom
E_tot: -17.15 eV/cell
DOS(E_F): 0.9807 states/eV/atom
Volume: 97.7 Å³/f.u.
Space-group type: Pm-3m, No. 221

Unit cell a=4.606 b=4.606 c=4.606 alpha=90.00 beta=90.00 gamma=90.00
Element x y z (fractional)
Cu (0.000, 0.000, 0.000)
P (0.000, 0.000, 0.500)
P (0.000, 0.500, 0.000)
P (0.500, 0.000, 0.000)
I (0.500, 0.500, 0.500)